[1]
The following is a DFT calculation (GGA-PBE) of ZnCo2Os after structural relaxation.

## Properties
* formation energy: 0.55 eV/f.u.
* V: 50.8 Å³/cell
* energy: -0.240 Ha/atom

The structure in POSCAR format:
```
ZnCo2Os
1.0
-3.594 7.738 -0.243
-5.778 6.266 -0.448
-4.770 6.809 1.932
Co Os Zn
2 1 1
Direct
0.996 0.996 0.996
0.253 0.253 0.253
0.505 0.505 0.505
0.746 0.746 0.746
```



[2]
The following is a DFT calculation (GGA-PBE) of TbYThIn after structural relaxation.

## Properties
* formation energy: -0.13 eV/f.u.
* V: 116.3 Å³/cell
* energy: -0.196 Ha/atom

The structure in POSCAR format:
```
TbYThIn
1.0
-5.080 1.506 1.391
-4.219 -1.255 -3.262
-3.645 -3.778 1.567
Y Tb Th In
1 1 1 1
Direct
0.750 0.750 0.750
0.250 0.250 0.250
0.000 0.000 0.000
0.500 0.500 0.500
```



[3]
The following is a DFT calculation (GGA-PBE) of Hf2ThTa after structural relaxation.

## Properties
* formation energy: 0.57 eV/f.u.
* V: 94.8 Å³/cell
* energy: -0.355 Ha/atom

The structure in POSCAR format:
```
Hf2ThTa
1.0
-0.145 0.160 -3.465
3.113 -1.524 -0.200
-3.466 -7.054 -0.181
Hf Th Ta
2 1 1
Direct
0.000 0.000 0.796
0.000 0.000 0.204
0.500 0.500 0.500
0.500 0.500 0.000
```



[4]
The following is a DFT calculation (GGA-PBE) of NaTl6Br8 after structural relaxation.

## Properties
* V: 534.1 Å³/cell
* energy: -0.101 Ha/atom
* E_form (uncorrected): -0.8170 eV/atom

The structure in POSCAR format:
```
NaTl6Br8
1.0
4.980 0.000 0.000
0.000 9.637 -5.564
0.000 0.000 11.128
Na Tl Br
1 6 8
Direct
0.500 0.000 0.000
0.755 0.661 0.118
0.755 0.882 0.544
0.755 0.456 0.339
0.245 0.339 0.882
0.245 0.118 0.456
0.245 0.544 0.661
0.742 0.977 0.258
0.742 0.742 0.719
0.742 0.281 0.023
0.258 0.023 0.742
0.258 0.258 0.281
0.258 0.719 0.977
0.742 0.333 0.667
0.258 0.667 0.333
```



[5]
The following is a DFT calculation (GGA-PBE) of HfSc2Pb after structural relaxation.

## Properties
* formation energy: -0.47 eV/f.u.
* V: 96.8 Å³/cell
* energy: -0.246 Ha/atom

The structure in POSCAR format:
```
HfSc2Pb
1.0
3.324 0.000 0.000
1.662 2.879 0.000
1.662 0.960 10.113
Pb Sc Hf
1 2 1
Direct
0.000 0.000 0.000
0.248 0.248 0.255
0.752 0.752 0.745
0.500 0.500 0.500
```



[6]
The following is a DFT calculation (GGA-PBE) of KTa2Hg after structural relaxation.

## Properties
* formation energy: 3.18 eV/f.u.
* V: 108.5 Å³/cell
* energy: -0.201 Ha/atom

The structure in POSCAR format:
```
KTa2Hg
1.0
5.110 0.000 -0.006
4.289 2.778 -0.006
0.774 0.229 7.645
Hg K Ta
1 1 2
Direct
0.525 0.525 0.447
0.759 0.759 0.742
0.974 0.974 0.119
0.241 0.241 0.192
```



[7]
The following is a DFT calculation (GGA-PBE) of NpFeCuH6 after structural relaxation.

## Properties
* V: 69.5 Å³/cell
* energy: -0.189 Ha/atom

The structure in POSCAR format:
```
NpFeCuH6
1.0
4.386 0.000 0.000
2.193 3.799 0.000
0.000 0.000 4.173
Np Fe Cu H
1 1 1 6
Direct
0.000 0.000 0.000
0.333 0.333 0.500
0.667 0.667 0.500
0.021 0.490 0.233
0.490 0.021 0.767
0.490 0.490 0.767
0.021 0.490 0.767
0.490 0.490 0.233
0.490 0.021 0.233
```



[8]
The following is a DFT calculation (GGA-PBE) of ScPaTcOs after structural relaxation.

## Properties
* formation energy: -1.49 eV/f.u.
* V: 75.2 Å³/cell
* energy: -0.358 Ha/atom

The structure in POSCAR format:
```
ScPaTcOs
1.0
-3.830 1.509 -2.343
-3.232 -3.116 -1.512
-4.262 -0.181 2.061
Sc Pa Os Tc
1 1 1 1
Direct
0.000 0.000 0.000
0.500 0.500 0.500
0.250 0.250 0.250
0.750 0.750 0.750
```



[9]
The following is a DFT calculation (GGA-PBE) of Ce3Zn3Ag2 after structural relaxation.

## Properties
* formation energy: -1.67 eV/f.u.
* V: 351.7 Å³/cell
* energy: -0.133 Ha/atom

The structure in POSCAR format:
```
Ce3Zn3Ag2
1.0
-2.845 0.891 -3.748
0.363 -5.432 1.493
-11.165 1.694 8.877
Ce Zn Ag
6 6 4
Direct
0.910 0.820 0.387
0.090 0.180 0.887
0.910 0.820 0.113
0.090 0.180 0.613
0.716 0.431 0.250
0.284 0.569 0.750
0.602 0.205 0.450
0.398 0.795 0.950
0.602 0.205 0.050
0.398 0.795 0.550
0.405 0.810 0.250
0.595 0.190 0.750
0.786 0.572 0.901
0.214 0.428 0.401
0.786 0.572 0.599
0.214 0.428 0.099
```



[10]
The following is a DFT calculation (GGA-PBE) of LiPmPN2 after structural relaxation.

## Properties
* V: 132.5 Å³/cell
* energy: -0.229 Ha/atom
* E_form (uncorrected): -0.4838 eV/atom

The structure in POSCAR format:
```
LiPmPN2
1.0
3.960 0.000 0.000
0.000 5.536 0.136
0.000 -1.527 6.005
Li Pm P N
2 2 2 4
Direct
0.488 0.000 0.250
0.512 0.000 0.750
0.251 0.500 0.750
0.749 0.500 0.250
0.000 0.000 0.000
0.000 0.000 0.500
0.731 0.746 0.956
0.731 0.254 0.544
0.269 0.746 0.456
0.269 0.254 0.044
```



[11]
The following is a DFT calculation (GGA-PBE) of Ta2Ti5Fe2Rh after structural relaxation.

## Properties
* formation energy: -2.27 eV/f.u.
* V: 313.6 Å³/cell
* energy: -0.330 Ha/atom

The structure in POSCAR format:
```
Ta2Ti5Fe2Rh
1.0
-0.151 2.386 1.789
-9.150 2.383 -3.952
-4.586 -5.682 7.191
Ta Ti Fe Rh
4 10 4 2
Direct
0.000 0.678 0.178
0.000 0.322 0.822
0.000 0.178 0.322
0.000 0.822 0.678
0.500 0.205 0.056
0.500 0.795 0.944
0.500 0.056 0.795
0.500 0.705 0.444
0.500 0.944 0.205
0.500 0.295 0.556
0.500 0.556 0.705
0.500 0.444 0.295
0.500 0.500 0.000
0.500 0.000 0.500
0.000 0.132 0.632
0.000 0.868 0.368
0.000 0.632 0.868
0.000 0.368 0.132
0.000 0.000 0.000
0.000 0.500 0.500
```



[12]
The following is a DFT calculation (GGA-PBE) of Ir2Pt5Rh5 after structural relaxation.

## Properties
* formation energy: 0.07 eV/f.u.
* V: 178.0 Å³/cell
* energy: -0.259 Ha/atom

The structure in POSCAR format:
```
Ir2Pt5Rh5
1.0
0.325 -1.651 3.512
5.666 -2.380 0.516
4.570 5.421 4.284
Ir Pt Rh
2 5 5
Direct
0.917 0.420 0.747
0.083 0.580 0.253
0.500 0.500 0.500
0.333 0.333 0.001
0.416 0.917 0.251
0.584 0.083 0.749
0.667 0.667 0.999
0.834 0.834 0.499
0.253 0.748 0.747
0.747 0.252 0.253
0.166 0.166 0.501
0.000 0.000 0.000
```



[13]
The following is a DFT calculation (GGA-PBE) of ZrScAl2 after structural relaxation.

## Properties
* formation energy: -1.71 eV/f.u.
* V: 77.2 Å³/cell
* energy: -0.221 Ha/atom

The structure in POSCAR format:
```
ZrScAl2
1.0
5.142 -0.009 -0.005
1.526 4.911 0.005
-3.331 -2.455 3.055
Sc Al Zr
1 2 1
Direct
0.750 0.250 0.500
0.000 0.000 0.000
0.500 0.500 0.000
0.250 0.750 0.500
```



[14]
The following is a DFT calculation (GGA-PBE) of Y3TiAu after structural relaxation.

## Properties
* formation energy: 2.30 eV/f.u.
* V: 145.4 Å³/cell
* energy: -0.208 Ha/atom

The structure in POSCAR format:
```
Y3TiAu
1.0
5.258 0.000 0.000
0.000 5.258 0.000
0.000 0.000 5.258
Y Au Ti
3 1 1
Direct
0.000 0.500 0.000
0.000 0.000 0.500
0.500 0.000 0.000
0.500 0.500 0.500
0.000 0.000 0.000
```



[15]
The following is a DFT calculation (GGA-PBE) of PrH8Pd6 after structural relaxation.

## Properties
* V: 150.5 Å³/cell
* energy: -0.162 Ha/atom

The structure in POSCAR format:
```
PrH8Pd6
1.0
5.364 -0.318 -0.328
-0.485 5.351 -0.328
-0.485 -0.500 5.338
Pr H Pd
1 8 6
Direct
0.000 0.000 0.000
0.682 0.682 0.682
0.318 0.318 0.318
0.627 0.810 0.217
0.810 0.217 0.627
0.217 0.627 0.810
0.373 0.190 0.783
0.190 0.783 0.373
0.783 0.373 0.190
0.688 0.415 0.866
0.415 0.866 0.688
0.866 0.688 0.415
0.312 0.585 0.134
0.585 0.134 0.312
0.134 0.312 0.585
```



[16]
The following is a DFT calculation (GGA-PBE) of Tl12PtAu6 after structural relaxation.

## Properties
* formation energy: 0.46 eV/f.u.
* V: 492.9 Å³/cell
* energy: -0.104 Ha/atom

The structure in POSCAR format:
```
Tl12PtAu6
1.0
7.926 -0.077 -1.270
-1.477 7.787 -1.270
-0.064 -0.077 8.026
Tl Pt Au
12 1 6
Direct
0.358 0.077 0.347
0.077 0.347 0.358
0.347 0.358 0.077
0.642 0.923 0.653
0.923 0.653 0.642
0.653 0.642 0.923
0.141 0.076 0.677
0.323 0.859 0.924
0.924 0.323 0.859
0.859 0.924 0.323
0.677 0.141 0.076
0.076 0.677 0.141
0.000 0.000 0.000
0.261 0.485 0.731
0.515 0.269 0.739
0.269 0.739 0.515
0.739 0.515 0.269
0.485 0.731 0.261
0.731 0.261 0.485
```



[17]
The following is a DFT calculation (GGA-PBE) of AuCIN2 after structural relaxation.

## Properties
* V: 110.4 Å³/cell
* energy: -0.133 Ha/atom
* E_form (uncorrected): 2.5177 eV/atom

The structure in POSCAR format:
```
AuCIN2
1.0
-3.535 1.149 -0.224
-1.057 -2.827 2.181
1.076 4.565 6.438
I C Au N
1 1 1 2
Direct
0.000 0.000 0.500
0.000 0.000 0.000
0.500 0.500 0.500
0.000 0.500 0.000
0.500 0.000 0.000
```



[18]
The following is a DFT calculation (GGA-PBE) of Na2GaCl4 after structural relaxation.

## Properties
* V: 236.0 Å³/cell
* energy: -0.116 Ha/atom
* E_form (uncorrected): -1.2968 eV/atom

The structure in POSCAR format:
```
Na2GaCl4
1.0
-4.555 0.766 -4.931
-3.954 -4.627 2.934
1.925 5.653 3.729
Na Ga Cl
2 1 4
Direct
0.750 0.250 0.500
0.250 0.750 0.500
0.500 0.500 0.000
0.845 0.404 0.249
0.404 0.845 0.249
0.596 0.596 0.751
0.155 0.155 0.751
```



[19]
The following is a DFT calculation (GGA-PBE) of Pr2Ho5Mg after structural relaxation.

## Properties
* formation energy: 0.73 eV/f.u.
* V: 1017.4 Å³/cell
* energy: -0.153 Ha/atom

The structure in POSCAR format:
```
Pr2Ho5Mg
1.0
7.562 -2.598 2.627
-0.571 14.280 5.680
0.181 3.119 10.944
Pr Ho Mg
8 20 4
Direct
0.569 0.087 0.771
0.894 0.168 0.877
0.739 0.384 0.668
0.892 0.564 0.217
0.108 0.436 0.783
0.261 0.616 0.332
0.106 0.832 0.123
0.431 0.913 0.229
0.847 0.926 0.238
0.337 0.019 0.557
0.902 0.049 0.586
0.607 0.202 0.117
0.720 0.266 0.348
0.293 0.158 0.966
0.417 0.366 0.527
0.040 0.333 0.459
0.175 0.482 0.045
0.486 0.431 0.887
0.514 0.569 0.113
0.825 0.518 0.955
0.960 0.667 0.541
0.583 0.634 0.473
0.707 0.842 0.034
0.280 0.734 0.652
0.393 0.798 0.883
0.098 0.951 0.414
0.663 0.981 0.443
0.153 0.074 0.762
0.047 0.210 0.173
0.342 0.281 0.291
0.658 0.719 0.709
0.953 0.790 0.827
```



[20]
The following is a DFT calculation (GGA-PBE) of La3Nd12Ho after structural relaxation.

## Properties
* formation energy: 0.22 eV/f.u.
* V: 565.5 Å³/cell
* energy: -0.175 Ha/atom

The structure in POSCAR format:
```
La3Nd12Ho
1.0
-4.929 0.163 -1.686
0.456 -4.868 -1.805
-6.515 -7.406 18.333
La Nd Ho
3 12 1
Direct
0.000 0.000 0.249
0.000 0.000 0.500
0.000 0.000 0.751
0.500 0.500 0.000
0.500 0.500 0.248
0.500 0.500 0.500
0.500 0.500 0.752
0.500 0.000 0.122
0.500 0.000 0.374
0.500 0.000 0.626
0.500 0.000 0.878
0.000 0.500 0.122
0.000 0.500 0.374
0.000 0.500 0.626
0.000 0.500 0.878
0.000 0.000 0.000
```



[21]
The following is a DFT calculation (GGA-PBE) of Be3Tc2P after structural relaxation.

## Properties
* formation energy: -1.57 eV/f.u.
* V: 62.0 Å³/cell
* energy: -0.238 Ha/atom

The structure in POSCAR format:
```
Be3Tc2P
1.0
-0.381 4.357 0.204
-0.960 -2.113 -3.713
-2.971 -2.558 2.228
Be Tc P
3 2 1
Direct
0.500 0.500 0.500
0.000 0.000 0.500
0.500 0.000 0.500
0.754 0.378 0.132
0.246 0.622 0.868
0.000 0.000 0.000
```



[22]
The following is a DFT calculation (GGA-PBE) of BaSi3S after structural relaxation.

## Properties
* V: 191.1 Å³/cell
* energy: -0.088 Ha/atom
* E_form (uncorrected): 2.0803 eV/atom

The structure in POSCAR format:
```
BaSi3S
1.0
5.760 0.000 0.000
0.000 5.760 0.000
0.000 0.000 5.760
S Si Ba
1 3 1
Direct
0.500 0.500 0.500
0.000 0.500 0.000
0.000 0.000 0.500
0.500 0.000 0.000
0.000 0.000 0.000
```